KMn2Os: single point on PBEsol structure, SCAN.

```
4
Lattice="4.293 -1.340 0.000 4.293 1.340 0.000 -0.527 0.000 6.702" Properties=species:S:1:pos:R:3 pbc="T T T"
K 0.000 0.000 0.000
Mn 1.663 0.000 4.207
Mn 6.396 0.000 2.494
Os 4.029 0.000 3.351
```

## Properties
formation enthalpy at 0 K	755	meV/atom
total moment	5.1	μB/cell
SG	C2/m, No. 12